[1]
Compound: LiCd2Au
Source: the Alexandria database
Functional: GGA-PBE
Structure: optimized geometry

Unit cell a=2.9676 b=4.7285 c=5.4601 alpha=90.00 beta=98.62 gamma=90.00
Element x y z (fractional)
Li (0.0000, 0.0000, 0.0000)
Cd (0.2487, 0.5000, 0.7540)
Cd (0.7513, 0.5000, 0.2460)
Au (0.5000, 0.0000, 0.5000)

Properties
symmetry: No. 10
calculated density: 9.398 g cm⁻³
energy above the most stable polymorph in this dataset: 0.097 eV/atom
energy of formation: -0.241 eV/atom



[2]
Compound: LiCdAu2
Source: the Alexandria database
Functional: GGA-PBE
Structure: optimized geometry

Unit cell a=5.1202 b=5.1202 c=4.9534 alpha=99.48 beta=99.48 gamma=34.27
Element x y z (fractional)
Li (0.0000, 0.0000, 0.0000)
Cd (0.2362, 0.2362, 0.7017)
Au (0.4888, 0.4888, 0.4790)
Au (0.7421, 0.7421, 0.1940)

Properties
symmetry: No. 8
calculated density: 11.832 g cm⁻³
energy of formation: -0.338 eV/atom



[3]
Compound: Li4Cd3Au
Source: the Alexandria database
Functional: GGA-PBE
Structure: optimized geometry

Unit cell a=4.5848 b=4.5848 c=7.3089 alpha=108.18 beta=108.18 gamma=89.88
Element x y z (fractional)
Li (0.1183, 0.6184, 0.7365)
Li (0.3816, 0.8817, 0.2635)
Li (0.6184, 0.1183, 0.7365)
Li (0.8817, 0.3816, 0.2635)
Cd (0.0000, 0.0000, 0.5000)
Cd (0.2531, 0.2531, 0.0054)
Cd (0.7469, 0.7469, 0.9946)
Au (0.5000, 0.5000, 0.5000)

Properties
symmetry: No. 12
calculated density: 6.767 g cm⁻³
energy of formation: -0.334 eV/atom



[4]
Compound: Li5Cd4Au
Source: the Alexandria database
Functional: GGA-PBE
Structure: optimized geometry

Unit cell a=3.3421 b=3.3421 c=15.7839 alpha=90.00 beta=90.00 gamma=90.00
Element x y z (fractional)
Li (0.0000, 0.0000, 0.0000)
Li (0.0000, 0.0000, 0.2046)
Li (0.0000, 0.0000, 0.4133)
Li (0.0000, 0.0000, 0.5867)
Li (0.0000, 0.0000, 0.7954)
Cd (0.5000, 0.5000, 0.1018)
Cd (0.5000, 0.5000, 0.3071)
Cd (0.5000, 0.5000, 0.6929)
Cd (0.5000, 0.5000, 0.8982)
Au (0.5000, 0.5000, 0.5000)

Properties
symmetry: No. 123
calculated density: 6.417 g cm⁻³
energy of formation: -0.312 eV/atom



[5]
Compound: Li2Cd8Au
Source: the Alexandria database
Functional: GGA-PBE
Structure: optimized geometry

Unit cell a=7.9377 b=7.9377 c=7.1836 alpha=116.80 beta=116.80 gamma=34.45
Element x y z (fractional)
Li (0.1949, 0.1949, 0.1925)
Li (0.8051, 0.8051, 0.8075)
Cd (0.0011, 0.0011, 0.2012)
Cd (0.1588, 0.1588, 0.6609)
Cd (0.3514, 0.3514, 0.6391)
Cd (0.3536, 0.3536, 0.0634)
Cd (0.6464, 0.6464, 0.9366)
Cd (0.6486, 0.6486, 0.3609)
Cd (0.8412, 0.8412, 0.3391)
Cd (0.9989, 0.9989, 0.7988)
Au (0.5000, 0.5000, 0.5000)

Properties
symmetry: No. 12
calculated density: 8.168 g cm⁻³
energy above the most stable polymorph in this dataset: 0.029 eV/atom
energy of formation: -0.136 eV/atom



[6]
Compound: Li2CdAu
Source: the Alexandria database
Functional: GGA-PBE
Structure: optimized geometry

Unit cell a=4.9992 b=4.9992 c=4.9992 alpha=131.71 beta=131.71 gamma=70.69
Element x y z (fractional)
Li (0.0000, 0.0000, 0.0000)
Li (0.7500, 0.2500, 0.5000)
Cd (0.2500, 0.7500, 0.5000)
Au (0.5000, 0.5000, 0.0000)

Properties
symmetry: No. 119
calculated density: 7.869 g cm⁻³
energy above the most stable polymorph in this dataset: 0.000 eV/atom
energy of formation: -0.423 eV/atom



[7]
Compound: LiCd12Au7
Source: the Alexandria database
Functional: GGA-PBE
Structure: optimized geometry

Unit cell a=9.7060 b=9.7060 c=9.7060 alpha=116.32 beta=116.32 gamma=116.32
Element x y z (fractional)
Li (0.0000, 0.0000, 0.0000)
Cd (0.0858, 0.2477, 0.6975)
Cd (0.1538, 0.4862, 0.3967)
Cd (0.2477, 0.6975, 0.0858)
Cd (0.3025, 0.9142, 0.7523)
Cd (0.3967, 0.1538, 0.4862)
Cd (0.4862, 0.3967, 0.1538)
Cd (0.5138, 0.6033, 0.8462)
Cd (0.6033, 0.8462, 0.5138)
Cd (0.6975, 0.0858, 0.2477)
Cd (0.7523, 0.3025, 0.9142)
Cd (0.8462, 0.5138, 0.6033)
Cd (0.9142, 0.7523, 0.3025)
Au (0.0275, 0.1053, 0.3314)
Au (0.1053, 0.3314, 0.0275)
Au (0.3314, 0.0275, 0.1053)
Au (0.5000, 0.5000, 0.5000)
Au (0.6686, 0.9725, 0.8947)
Au (0.8947, 0.6686, 0.9725)
Au (0.9725, 0.8947, 0.6686)

Properties
symmetry: No. 148
calculated density: 10.226 g cm⁻³
energy above the most stable polymorph in this dataset: 0.023 eV/atom
energy of formation: -0.141 eV/atom



[8]
Compound: Li8CdAu6
Source: the Alexandria database
Functional: GGA-PBE
Structure: optimized geometry

Unit cell a=7.0140 b=7.0140 c=7.0140 alpha=67.58 beta=67.58 gamma=67.58
Element x y z (fractional)
Li (0.0656, 0.3769, 0.7063)
Li (0.1666, 0.1666, 0.1666)
Li (0.2937, 0.9344, 0.6231)
Li (0.3769, 0.7063, 0.0656)
Li (0.6231, 0.2937, 0.9344)
Li (0.7063, 0.0656, 0.3769)
Li (0.8334, 0.8334, 0.8334)
Li (0.9344, 0.6231, 0.2937)
Cd (0.5000, 0.5000, 0.5000)
Au (0.0984, 0.7956, 0.4500)
Au (0.2044, 0.5500, 0.9016)
Au (0.4500, 0.0984, 0.7956)
Au (0.5500, 0.9016, 0.2044)
Au (0.7956, 0.4500, 0.0984)
Au (0.9016, 0.2044, 0.5500)

Properties
symmetry: No. 148
calculated density: 7.908 g cm⁻³
energy of formation: -0.402 eV/atom



no.,magnetic moment (μB per formula unit)
1,0.00
2,0.00
3,0.00
4,0.00
5,0.00
6,0.00
7,0.00
8,0.00